! ScNbSe2 PBE optimized geometry; values from VASP
! Electronic total energy in eV for the cell shown: -25.93
! Density of states at the Fermi level in states/eV/atom: 0.272
! Formation energy (no corrections) in eV/atom: -0.639
! Relative energy among the computed polymorphs in eV/atom: 0.288
&SYSTEM
  ibrav = 0, nat = 4, ntyp = 3
/
ATOMIC_SPECIES
Sc 44.96 Sc.upf
Nb 92.91 Nb.upf
Se 78.96 Se.upf
CELL_PARAMETERS angstrom
1.7257 0.9964 8.7882
-1.7257 0.9964 8.7882
0.0000 -1.9927 8.7882
ATOMIC_POSITIONS crystal
Sc 0.0000 0.0000 0.0000
Nb 0.5000 0.5000 0.5000
Se 0.1013 0.1013 0.1013
Se 0.8987 0.8987 0.8987